Density functional theory data (PBE-GGA) for an optimized crystal structure of RbVAg2S.

extended XYZ file:
```
5
Lattice="5.431 0.000 0.000 0.000 5.683 0.000 0.000 0.000 5.431" Properties=species:S:1:pos:R:3 pbc="T T T"
S 0.000 2.841 0.000
Rb 0.000 0.000 0.000
Ag 0.000 0.000 2.715
Ag 2.715 0.000 0.000
V 2.715 2.841 2.715
```

The calculation puts the total magnetization at 0.5 μB/f.u. The total energy comes out at -10.9 eV for the cell shown. As for the density of states at the Fermi level: 1.282 states/eV per atom. The value obtained for the formation energy (no corrections) is 1.80 eV/atom.

Density functional theory data (PBE-GGA) for an optimized crystal structure of Rb3V2AgS8.

extended XYZ file:
```
14
Lattice="-6.606 0.843 2.358 3.869 -5.480 2.216 3.230 5.190 7.194" Properties=species:S:1:pos:R:3 pbc="T T T"
Rb 2.510 0.054 7.012
Rb -2.016 0.499 4.756
Rb 0.000 0.000 0.000
V 1.182 -2.079 4.055
V -0.688 2.632 7.712
Ag 1.615 2.595 3.597
S 0.459 -3.242 2.443
S 0.035 3.795 9.325
S 3.167 -2.805 4.507
S -2.673 3.359 7.261
S 1.204 -0.026 3.383
S -0.710 0.579 8.385
S -0.184 -2.378 5.703
S 0.678 2.931 6.065
```

The calculation puts the total magnetization at 0.0 μB/f.u. The total energy comes out at -67.4 eV for the cell shown. As for the density of states at the Fermi level: 0.726 states/eV per atom. The value obtained for the formation energy (no corrections) is -0.74 eV/atom.

Density functional theory data (PBE-GGA) for an optimized crystal structure of Rb2VAgS4.

extended XYZ file:
```
16
Lattice="-1.011 5.662 0.565 0.143 2.271 7.048 11.223 5.019 -0.660" Properties=species:S:1:pos:R:3 pbc="T T T"
Rb 7.049 4.241 -0.324
Rb 3.163 6.441 0.230
Rb 9.098 8.670 3.283
Rb 0.751 7.113 3.954
V 5.430 5.061 3.336
V -0.505 2.831 0.283
Ag 4.925 7.892 3.618
Ag 0.000 0.000 0.000
S 0.986 4.283 5.812
S 9.784 6.344 0.910
S 9.262 11.156 5.588
S 0.678 4.122 1.598
S 4.081 5.879 4.855
S 6.364 6.567 2.049
S 6.018 9.689 4.984
S 4.247 3.769 2.020
```

As for the relative energy among the computed polymorphs: 26 meV/atom. The calculation puts the total magnetization at 0.0 μB/f.u. The total energy comes out at -75.8 eV for the cell shown. The value obtained for the formation energy (no corrections) is -0.94 eV/atom.